No. 1
VASP calculation (PBE) on a relaxed TbCeSn6 crystal.

**Volume**: 26.3 Å³/atom
**DFT formation energy**: -3.9 eV per formula unit

a = 4.7251 Å, b = 4.7251 Å, c = 9.4145 Å
α = 90.00°, β = 90.00°, γ = 90.00°
Last column: nearest neighbours and their distance in Å.
Fractional coordinates of all 8 atoms:
Tb (0.0000, 0.0000, 0.0000)  12 Sn 3.33-3.34
Ce (0.0000, 0.0000, 0.5000)  12 Sn 3.34
Sn (0.0000, 0.5000, 0.2490)  2 Tb 3.33, 8 Sn 3.33-3.34, 2 Ce 3.34
Sn (0.0000, 0.5000, 0.7510)  2 Tb 3.33, 8 Sn 3.33-3.34, 2 Ce 3.34
Sn (0.5000, 0.0000, 0.2490)  2 Tb 3.33, 8 Sn 3.33-3.34, 2 Ce 3.34
Sn (0.5000, 0.0000, 0.7510)  2 Tb 3.33, 8 Sn 3.33-3.34, 2 Ce 3.34
Sn (0.5000, 0.5000, 0.0000)  8 Sn 3.33, 4 Tb 3.34
Sn (0.5000, 0.5000, 0.5000)  4 Ce 3.34, 8 Sn 3.34

No. 2
VASP calculation (PBE) on a relaxed TbCe8Sn6 crystal.

**Volume**: 32.9 Å³/atom
**DFT formation energy**: -5.7 eV per formula unit

a = 8.4442 Å, b = 8.4442 Å, c = 8.4442 Å
α = 67.40°, β = 67.40°, γ = 67.40°
Last column: nearest neighbours and their distance in Å.
Fractional coordinates of all 15 atoms:
Tb (0.0000, 0.0000, 0.0000)  6 Sn 3.33, 6 Ce 3.72
Ce (0.0956, 0.7559, 0.4400)  5 Sn 3.17-3.24
Ce (0.2441, 0.5600, 0.9044)  5 Sn 3.17-3.24
Ce (0.3346, 0.3346, 0.3346)  6 Sn 3.43-3.45, 6 Ce 3.61-3.62
Ce (0.4400, 0.0956, 0.7559)  5 Sn 3.17-3.24
Ce (0.5600, 0.9044, 0.2441)  5 Sn 3.17-3.24
Ce (0.6654, 0.6654, 0.6654)  6 Sn 3.43-3.45, 6 Ce 3.61-3.62
Ce (0.7559, 0.4400, 0.0956)  5 Sn 3.17-3.24
Ce (0.9044, 0.2441, 0.5600)  5 Sn 3.17-3.24
Sn (0.0701, 0.3938, 0.7443)  7 Ce 3.17-3.45, 1 Tb 3.33
Sn (0.2557, 0.9299, 0.6062)  7 Ce 3.17-3.45, 1 Tb 3.33
Sn (0.3938, 0.7443, 0.0701)  7 Ce 3.17-3.45, 1 Tb 3.33
Sn (0.6062, 0.2557, 0.9299)  7 Ce 3.17-3.45, 1 Tb 3.33
Sn (0.7443, 0.0701, 0.3938)  7 Ce 3.17-3.45, 1 Tb 3.33
Sn (0.9299, 0.6062, 0.2557)  7 Ce 3.17-3.45, 1 Tb 3.33

No. 3
VASP calculation (PBE) on a relaxed TbCe3Sn12 crystal.

**Volume**: 26.2 Å³/atom
**DFT formation energy**: -8.3 eV per formula unit

a = 4.7397 Å, b = 4.7397 Å, c = 18.6695 Å
α = 90.00°, β = 90.00°, γ = 90.00°
Last column: nearest neighbours and their distance in Å.
Fractional coordinates of all 16 atoms:
Tb (0.0000, 0.0000, 0.0000)  12 Sn 3.32-3.35
Ce (0.0000, 0.0000, 0.2508)  12 Sn 3.32-3.35
Ce (0.0000, 0.0000, 0.5000)  12 Sn 3.32-3.35
Ce (0.0000, 0.0000, 0.7492)  12 Sn 3.32-3.35
Sn (0.0000, 0.5000, 0.1243)  8 Sn 3.32-3.35, 2 Tb 3.32, 2 Ce 3.35
Sn (0.0000, 0.5000, 0.3751)  4 Ce 3.32, 8 Sn 3.32-3.35
Sn (0.0000, 0.5000, 0.6249)  4 Ce 3.32, 8 Sn 3.32-3.35
Sn (0.0000, 0.5000, 0.8757)  8 Sn 3.32-3.35, 2 Tb 3.32, 2 Ce 3.35
Sn (0.5000, 0.0000, 0.1243)  8 Sn 3.32-3.35, 2 Tb 3.32, 2 Ce 3.35
Sn (0.5000, 0.0000, 0.3751)  4 Ce 3.32, 8 Sn 3.32-3.35
Sn (0.5000, 0.0000, 0.6249)  4 Ce 3.32, 8 Sn 3.32-3.35
Sn (0.5000, 0.0000, 0.8757)  8 Sn 3.32-3.35, 2 Tb 3.32, 2 Ce 3.35
Sn (0.5000, 0.5000, 0.0000)  8 Sn 3.32, 4 Tb 3.35
Sn (0.5000, 0.5000, 0.2495)  8 Sn 3.33, 4 Ce 3.35
Sn (0.5000, 0.5000, 0.5000)  8 Sn 3.32, 4 Ce 3.35
Sn (0.5000, 0.5000, 0.7505)  8 Sn 3.33, 4 Ce 3.35

No. 4
VASP calculation (PBE) on a relaxed TbCe2Sn2 crystal.

**Volume**: 27.7 Å³/atom
**DFT formation energy**: -2.4 eV per formula unit

a = 5.1887 Å, b = 5.1887 Å, c = 17.8217 Å
α = 90.00°, β = 90.00°, γ = 120.00°
Last column: nearest neighbours and their distance in Å.
Fractional coordinates of all 15 atoms:
Tb (0.0000, 0.0000, 0.0000)  6 Sn 3.26, 2 Ce 3.50
Tb (0.3333, 0.6667, 0.6667)  6 Sn 3.26, 2 Ce 3.50
Tb (0.6667, 0.3333, 0.3333)  6 Sn 3.26, 2 Ce 3.50
Ce (0.0000, 0.0000, 0.1962)  3 Ce 3.18, 3 Sn 3.21, 1 Tb 3.50
Ce (0.0000, 0.0000, 0.8038)  3 Ce 3.18, 3 Sn 3.21, 1 Tb 3.50
Ce (0.3333, 0.6667, 0.4704)  3 Ce 3.18, 3 Sn 3.21, 1 Tb 3.50
Ce (0.3333, 0.6667, 0.8629)  3 Ce 3.18, 3 Sn 3.21, 1 Tb 3.50
Ce (0.6667, 0.3333, 0.1371)  3 Ce 3.18, 3 Sn 3.21, 1 Tb 3.50
Ce (0.6667, 0.3333, 0.5296)  3 Ce 3.18, 3 Sn 3.21, 1 Tb 3.50
Sn (0.0000, 0.0000, 0.4055)  3 Ce 3.21, 3 Tb 3.26, 1 Sn 3.37
Sn (0.0000, 0.0000, 0.5945)  3 Ce 3.21, 3 Tb 3.26, 1 Sn 3.37
Sn (0.3333, 0.6667, 0.0721)  3 Ce 3.21, 3 Tb 3.26, 1 Sn 3.37
Sn (0.3333, 0.6667, 0.2612)  3 Ce 3.21, 3 Tb 3.26, 1 Sn 3.37
Sn (0.6667, 0.3333, 0.7388)  3 Ce 3.21, 3 Tb 3.26, 1 Sn 3.37
Sn (0.6667, 0.3333, 0.9279)  3 Ce 3.21, 3 Tb 3.26, 1 Sn 3.37

No. 5
VASP calculation (PBE) on a relaxed TbCe3Sn5 crystal.

**Volume**: 27.8 Å³/atom
**DFT formation energy**: -5.5 eV per formula unit

a = 9.4397 Å, b = 9.4397 Å, c = 6.4769 Å
α = 90.00°, β = 90.00°, γ = 120.00°
Last column: nearest neighbours and their distance in Å.
Fractional coordinates of all 18 atoms:
Tb (0.0000, 0.0000, 0.0000)  6 Sn 3.14, 2 Tb 3.24
Tb (0.0000, 0.0000, 0.5000)  6 Sn 3.14, 2 Tb 3.24
Ce (0.0000, 0.3826, 0.2500)  9 Sn 3.14-3.37
Ce (0.0000, 0.6174, 0.7500)  9 Sn 3.14-3.37
Ce (0.3826, 0.0000, 0.2500)  9 Sn 3.14-3.37
Ce (0.3826, 0.3826, 0.7500)  9 Sn 3.14-3.37
Ce (0.6174, 0.0000, 0.7500)  9 Sn 3.14-3.37
Ce (0.6174, 0.6174, 0.2500)  9 Sn 3.14-3.37
Sn (0.0000, 0.2844, 0.7500)  2 Tb 3.14, 5 Ce 3.14-3.37
Sn (0.0000, 0.7156, 0.2500)  2 Tb 3.14, 5 Ce 3.14-3.37
Sn (0.2844, 0.0000, 0.7500)  2 Tb 3.14, 5 Ce 3.14-3.37
Sn (0.2844, 0.2844, 0.2500)  2 Tb 3.14, 5 Ce 3.14-3.37
Sn (0.3333, 0.6667, 0.0000)  2 Sn 3.24, 6 Ce 3.36
Sn (0.3333, 0.6667, 0.5000)  2 Sn 3.24, 6 Ce 3.36
Sn (0.6667, 0.3333, 0.0000)  2 Sn 3.24, 6 Ce 3.36
Sn (0.6667, 0.3333, 0.5000)  2 Sn 3.24, 6 Ce 3.36
Sn (0.7156, 0.0000, 0.2500)  2 Tb 3.14, 5 Ce 3.14-3.37
Sn (0.7156, 0.7156, 0.7500)  2 Tb 3.14, 5 Ce 3.14-3.37

No. 6
VASP calculation (PBE) on a relaxed TbCe2Sn9 crystal.

**Volume**: 26.2 Å³/atom
**DFT formation energy**: -6.0 eV per formula unit

a = 4.7208 Å, b = 4.7208 Å, c = 14.1246 Å
α = 90.00°, β = 90.00°, γ = 90.00°
Last column: nearest neighbours and their distance in Å.
Fractional coordinates of all 12 atoms:
Tb (0.0000, 0.0000, 0.0000)  12 Sn 3.33-3.34
Ce (0.0000, 0.0000, 0.3349)  12 Sn 3.32-3.35
Ce (0.0000, 0.0000, 0.6651)  12 Sn 3.32-3.35
Sn (0.0000, 0.5000, 0.1662)  2 Tb 3.33, 8 Sn 3.33-3.34, 2 Ce 3.35
Sn (0.0000, 0.5000, 0.5000)  4 Ce 3.32, 8 Sn 3.34
Sn (0.0000, 0.5000, 0.8338)  2 Tb 3.33, 8 Sn 3.33-3.34, 2 Ce 3.35
Sn (0.5000, 0.0000, 0.1662)  2 Tb 3.33, 8 Sn 3.33-3.34, 2 Ce 3.35
Sn (0.5000, 0.0000, 0.5000)  4 Ce 3.32, 8 Sn 3.34
Sn (0.5000, 0.0000, 0.8338)  2 Tb 3.33, 8 Sn 3.33-3.34, 2 Ce 3.35
Sn (0.5000, 0.5000, 0.0000)  8 Sn 3.33, 4 Tb 3.34
Sn (0.5000, 0.5000, 0.3330)  8 Sn 3.33-3.34, 4 Ce 3.34
Sn (0.5000, 0.5000, 0.6670)  8 Sn 3.33-3.34, 4 Ce 3.34

No. 7
VASP calculation (PBE) on a relaxed TbCe5Sn5 crystal.

**Volume**: 34.0 Å³/atom
**DFT formation energy**: -3.7 eV per formula unit

a = 7.7764 Å, b = 7.7764 Å, c = 8.7648 Å
α = 106.35°, β = 106.35°, γ = 47.91°
Last column: nearest neighbours and their distance in Å.
Fractional coordinates of all 11 atoms:
Tb (0.0000, 0.0000, 0.0000)  6 Sn 3.14-3.16
Ce (0.0000, 0.0000, 0.5000)  4 Sn 3.12-3.14
Ce (0.3346, 0.3346, 0.1683)  5 Sn 3.14-3.17
Ce (0.3350, 0.3350, 0.6654)  5 Sn 3.14-3.16
Ce (0.6650, 0.6650, 0.3346)  5 Sn 3.14-3.16
Ce (0.6654, 0.6654, 0.8317)  5 Sn 3.14-3.17
Sn (0.1658, 0.1658, 0.3344)  5 Ce 3.12-3.17, 1 Tb 3.14
Sn (0.1673, 0.1673, 0.8313)  5 Ce 3.14-3.17, 1 Tb 3.16
Sn (0.5000, 0.5000, 0.0000)  4 Ce 3.14, 2 Tb 3.16
Sn (0.8327, 0.8327, 0.1687)  5 Ce 3.14-3.17, 1 Tb 3.16
Sn (0.8342, 0.8342, 0.6656)  5 Ce 3.12-3.17, 1 Tb 3.14

No. 8
VASP calculation (PBE) on a relaxed Tb5CeSn6 crystal.

**Volume**: 28.6 Å³/atom
**DFT formation energy**: -7.3 eV per formula unit

a = 8.3554 Å, b = 8.3554 Å, c = 7.4128 Å
α = 95.06°, β = 95.06°, γ = 136.91°
Last column: nearest neighbours and their distance in Å.
Fractional coordinates of all 12 atoms:
Tb (0.0000, 0.0000, 0.0000)  6 Sn 3.16-3.17
Tb (0.3269, 0.6731, 0.5000)  6 Sn 3.14-3.19
Tb (0.3416, 0.6584, 0.0000)  6 Sn 3.17-3.20
Tb (0.6584, 0.3416, 0.0000)  6 Sn 3.17-3.20
Tb (0.6731, 0.3269, 0.5000)  6 Sn 3.14-3.19
Ce (0.0000, 0.0000, 0.5000)  6 Sn 3.20-3.28
Sn (0.1635, 0.8255, 0.7631)  5 Tb 3.14-3.20, 1 Ce 3.28, 1 Sn 3.50
Sn (0.1745, 0.8365, 0.2369)  5 Tb 3.14-3.20, 1 Ce 3.28, 1 Sn 3.50
Sn (0.4890, 0.4890, 0.2670)  5 Tb 3.17-3.19, 1 Ce 3.20, 1 Sn 3.42
Sn (0.5110, 0.5110, 0.7330)  5 Tb 3.17-3.19, 1 Ce 3.20, 1 Sn 3.42
Sn (0.8255, 0.1635, 0.7631)  5 Tb 3.14-3.20, 1 Ce 3.28, 1 Sn 3.50
Sn (0.8365, 0.1745, 0.2369)  5 Tb 3.14-3.20, 1 Ce 3.28, 1 Sn 3.50

No. 9
VASP calculation (PBE) on a relaxed Tb3Ce2Sn4 crystal.

**Volume**: 29.4 Å³/atom
**DFT formation energy**: -6.4 eV per formula unit

a = 8.3796 Å, b = 8.3498 Å, c = 8.0872 Å
α = 90.00°, β = 110.70°, γ = 90.00°
Last column: nearest neighbours and their distance in Å.
Fractional coordinates of all 18 atoms:
Tb (0.0000, 0.0000, 0.0000)  6 Sn 3.19-3.29
Tb (0.0000, 0.5000, 0.5000)  6 Sn 3.19-3.29
Tb (0.2542, 0.1679, 0.7613)  6 Sn 3.06-3.23
Tb (0.2542, 0.3321, 0.2613)  6 Sn 3.06-3.23
Tb (0.7458, 0.6679, 0.7387)  6 Sn 3.06-3.23
Tb (0.7458, 0.8321, 0.2387)  6 Sn 3.06-3.23
Ce (0.3082, 0.6785, 0.9381)  5 Sn 3.21-3.45
Ce (0.3082, 0.8215, 0.4381)  5 Sn 3.21-3.45
Ce (0.6918, 0.1785, 0.5619)  5 Sn 3.21-3.45
Ce (0.6918, 0.3215, 0.0619)  5 Sn 3.21-3.45
Sn (0.0121, 0.6344, 0.1357)  1 Sn 3.10, 5 Tb 3.12-3.23, 2 Ce 3.21-3.41
Sn (0.0121, 0.8656, 0.6357)  1 Sn 3.10, 5 Tb 3.12-3.23, 2 Ce 3.21-3.41
Sn (0.4172, 0.0369, 0.1625)  4 Tb 3.06-3.29, 1 Ce 3.24
Sn (0.4172, 0.4631, 0.6625)  4 Tb 3.06-3.29, 1 Ce 3.24
Sn (0.5828, 0.5369, 0.3375)  4 Tb 3.06-3.29, 1 Ce 3.24
Sn (0.5828, 0.9631, 0.8375)  4 Tb 3.06-3.29, 1 Ce 3.24
Sn (0.9879, 0.1344, 0.3643)  1 Sn 3.10, 5 Tb 3.12-3.23, 2 Ce 3.21-3.41
Sn (0.9879, 0.3656, 0.8643)  1 Sn 3.10, 5 Tb 3.12-3.23, 2 Ce 3.21-3.41

No. 10
VASP calculation (PBE) on a relaxed TbCe4Sn5 crystal.

**Volume**: 27.3 Å³/atom
**DFT formation energy**: -6.0 eV per formula unit

a = 3.4810 Å, b = 3.4810 Å, c = 22.5520 Å
α = 90.00°, β = 90.00°, γ = 90.00°
Last column: nearest neighbours and their distance in Å.
Fractional coordinates of all 10 atoms:
Tb (0.0000, 0.0000, 0.0000)  8 Sn 3.30, 4 Tb 3.48
Ce (0.0000, 0.0000, 0.1990)  8 Sn 3.34-3.36, 4 Ce 3.48
Ce (0.0000, 0.0000, 0.3995)  8 Sn 3.35, 4 Ce 3.48
Ce (0.0000, 0.0000, 0.6005)  8 Sn 3.35, 4 Ce 3.48
Ce (0.0000, 0.0000, 0.8010)  8 Sn 3.34-3.36, 4 Ce 3.48
Sn (0.5000, 0.5000, 0.0974)  4 Tb 3.30, 4 Ce 3.36, 4 Sn 3.48
Sn (0.5000, 0.5000, 0.2991)  8 Ce 3.34-3.35, 4 Sn 3.48
Sn (0.5000, 0.5000, 0.5000)  8 Ce 3.35, 4 Sn 3.48
Sn (0.5000, 0.5000, 0.7009)  8 Ce 3.34-3.35, 4 Sn 3.48
Sn (0.5000, 0.5000, 0.9026)  4 Tb 3.30, 4 Ce 3.36, 4 Sn 3.48

No. 11
VASP calculation (PBE) on a relaxed TbCe2Sn3 crystal.

**Relative energy among the computed polymorphs**: 0.0 meV/atom
**Volume**: 27.5 Å³/atom
**DFT formation energy**: -3.6 eV per formula unit

a = 5.8094 Å, b = 17.3954 Å, c = 3.2680 Å
α = 90.00°, β = 90.00°, γ = 90.00°
Last column: nearest neighbours and their distance in Å.
Fractional coordinates of all 12 atoms:
Tb (0.0000, 0.0000, 0.0000)  2 Tb 3.27, 8 Sn 3.30-3.33
Tb (0.5000, 0.5000, 0.0000)  2 Tb 3.27, 8 Sn 3.30-3.33
Ce (0.0000, 0.3343, 0.0000)  2 Ce 3.27, 8 Sn 3.31-3.37
Ce (0.0000, 0.6657, 0.0000)  2 Ce 3.27, 8 Sn 3.31-3.37
Ce (0.5000, 0.1657, 0.0000)  2 Ce 3.27, 8 Sn 3.31-3.37
Ce (0.5000, 0.8343, 0.0000)  2 Ce 3.27, 8 Sn 3.31-3.37
Sn (0.0000, 0.1651, 0.5000)  2 Sn 3.27, 2 Tb 3.30, 6 Ce 3.33-3.37
Sn (0.0000, 0.5000, 0.5000)  2 Sn 3.27, 4 Ce 3.31, 4 Tb 3.33
Sn (0.0000, 0.8349, 0.5000)  2 Sn 3.27, 2 Tb 3.30, 6 Ce 3.33-3.37
Sn (0.5000, 0.0000, 0.5000)  2 Sn 3.27, 4 Ce 3.31, 4 Tb 3.33
Sn (0.5000, 0.3349, 0.5000)  2 Sn 3.27, 2 Tb 3.30, 6 Ce 3.33-3.37
Sn (0.5000, 0.6651, 0.5000)  2 Sn 3.27, 2 Tb 3.30, 6 Ce 3.33-3.37

No. 12
VASP calculation (PBE) on a relaxed TbCe5Sn6 crystal.

**Volume**: 27.4 Å³/atom
**DFT formation energy**: -7.2 eV per formula unit

a = 4.9423 Å, b = 8.9776 Å, c = 7.7945 Å
α = 90.00°, β = 107.93°, γ = 90.00°
Last column: nearest neighbours and their distance in Å.
Fractional coordinates of all 12 atoms:
Tb (0.0000, 0.0000, 0.0000)  8 Sn 3.31-3.32, 4 Ce 3.49-3.51
Ce (0.0000, 0.5000, 0.0000)  8 Sn 3.33-3.36, 4 Ce 3.49-3.51
Ce (0.3347, 0.0000, 0.6655)  8 Sn 3.33-3.34, 2 Ce 3.45-3.51, 2 Tb 3.49-3.51
Ce (0.3347, 0.5000, 0.6659)  8 Sn 3.35-3.36, 4 Ce 3.46-3.52
Ce (0.6653, 0.0000, 0.3345)  8 Sn 3.33-3.34, 2 Ce 3.45-3.51, 2 Tb 3.49-3.51
Ce (0.6653, 0.5000, 0.3341)  8 Sn 3.35-3.36, 4 Ce 3.46-3.52
Sn (0.1631, 0.2487, 0.3299)  1 Tb 3.31, 7 Ce 3.33-3.36, 4 Sn 3.47-3.56
Sn (0.1631, 0.7513, 0.3299)  1 Tb 3.31, 7 Ce 3.33-3.36, 4 Sn 3.47-3.56
Sn (0.5000, 0.2472, 0.0000)  2 Tb 3.32, 6 Ce 3.33-3.36, 4 Sn 3.47-3.49
Sn (0.5000, 0.7528, 0.0000)  2 Tb 3.32, 6 Ce 3.33-3.36, 4 Sn 3.47-3.49
Sn (0.8369, 0.2487, 0.6701)  1 Tb 3.31, 7 Ce 3.33-3.36, 4 Sn 3.47-3.56
Sn (0.8369, 0.7513, 0.6701)  1 Tb 3.31, 7 Ce 3.33-3.36, 4 Sn 3.47-3.56